A relaxed ScCrIn2 crystal. Source: Alexandria via LeMat-Bulk, functional PBE.

Results
For the energy above the lowest structure with this stoichiometry, the calculation gives 0.399 eV per atom. Its space group is I-42d, No. 122. As for the volume: 191 Å³ per cell. The total energy is -40.053 eV for the cell shown.

Cell: 4.3198 4.3198 10.7054 Å, 78.36 78.36 90.00°
Closest atoms and distances in Å follow each position.
Positions (direct):
In: 0.8750 0.8814 0.7500  2 Cr 2.98, 2 Sc 3.00, 4 In 3.02-3.09
In: 0.3750 0.3686 0.7500  2 Cr 2.98, 2 Sc 3.00, 4 In 3.02-3.09
In: 0.1186 0.6250 0.2500  2 Cr 2.98, 2 Sc 3.00, 4 In 3.02-3.09
In: 0.6314 0.1250 0.2500  2 Cr 2.98, 2 Sc 3.00, 4 In 3.02-3.09
Sc: 0.2500 0.7500 0.5000  4 In 3.00, 4 Cr 3.05
Sc: 0.5000 0.5000 0.0000  4 In 3.00, 4 Cr 3.05
Cr: 0.0000 0.0000 0.0000  4 In 2.98, 4 Sc 3.05
Cr: 0.7500 0.2500 0.5000  4 In 2.98, 4 Sc 3.05

A relaxed Tm2ThBi3 crystal. Source: Alexandria via LeMat-Bulk, functional PBE.

Results
Its space group is Immm, No. 71. As for the volume: 192 Å³ per cell. The total energy is -32.227 eV for the cell shown.

Cell: 4.4971 6.3808 7.7579 Å, 114.28 106.85 90.00°
Closest atoms and distances in Å follow each position.
Positions (direct):
Th: 0.5000 0.5000 0.5000  6 Bi 3.19-3.24
Bi: 0.1737 0.6737 0.8473  4 Tm 3.13-3.19, 2 Th 3.24
Bi: 0.5000 0.0000 0.5000  4 Tm 3.15, 2 Th 3.19
Bi: 0.8263 0.3263 0.1527  4 Tm 3.13-3.19, 2 Th 3.24
Tm: 0.8358 0.8358 0.1716  6 Bi 3.13-3.19
Tm: 0.1642 0.1642 0.8284  6 Bi 3.13-3.19